This record from Alexandria describes a relaxed structure of SrMgZn2Ir. The functional is GGA-PBE.

```
5
Lattice="4.928 0.000 0.000 0.000 4.928 0.000 0.000 0.000 4.928" Properties=species:S:1:pos:R:3 pbc="T T T"
Sr 2.464 2.464 2.464
Zn 0.000 2.464 0.000
Zn 2.464 0.000 0.000
Ir 0.000 0.000 0.000
Mg 0.000 0.000 2.464
```

Results
Formation enthalpy at 0 K = -253 meV per atom

***

This record from Alexandria describes a relaxed structure of LiIn2Ni. The functional is GGA-PBE.

```
8
Lattice="4.258 0.000 0.000 0.000 4.258 0.000 2.129 2.129 9.107" Properties=species:S:1:pos:R:3 pbc="T T T"
Ni 0.000 0.000 0.000
Ni 4.258 2.129 4.554
Li 2.129 2.129 0.000
Li 2.129 4.258 4.554
In 3.255 1.065 2.277
In 1.003 3.194 2.277
In 3.194 3.132 6.830
In 5.323 5.385 6.830
```

Results
Formation enthalpy at 0 K = 177 meV per atom

***

This record from Alexandria describes a relaxed structure of Sc2TeI3. The functional is GGA-PBE.

```
12
Lattice="-2.345 0.310 -3.333 -7.583 -2.988 2.551 -6.407 11.166 3.041" Properties=species:S:1:pos:R:3 pbc="T T T"
Sc -10.854 7.822 3.352
Sc -5.480 0.666 -1.094
Sc -12.355 4.675 1.610
Sc -3.979 3.813 0.648
Te -10.754 6.842 0.686
Te -5.580 1.646 1.573
I -12.612 5.691 4.391
I -3.721 2.797 -2.133
I -9.348 10.274 2.521
I -6.986 -1.786 -0.263
I -6.432 5.346 0.012
I -9.901 3.142 2.247
```

Results
Formation energy without anion corrections = -1.172 eV per atom
Offset from the most stable computed form = 0.00 eV per formula unit

***

This record from Alexandria describes a relaxed structure of LaMnCdOs2. The functional is GGA-PBE.

```
5
Lattice="-0.721 -2.504 3.771 4.869 -0.853 0.364 0.465 3.757 2.584" Properties=species:S:1:pos:R:3 pbc="T T T"
Cd 2.307 0.200 3.359
Os 0.233 1.878 1.292
Os -0.360 -1.252 1.885
Mn 0.000 0.000 0.000
La 2.435 -0.427 0.182
```

Results
Formation enthalpy at 0 K = 915 meV per atom

***

This record from Alexandria describes a relaxed structure of PmPd2O6. The functional is GGA-PBE.

```
9
Lattice="5.051 0.000 0.000 0.000 4.537 -2.620 0.000 0.000 5.239" Properties=species:S:1:pos:R:3 pbc="T T T"
Pm 0.000 0.000 0.000
Pd 2.526 3.025 0.000
Pd 2.526 1.512 2.620
O 3.630 2.897 1.673
O 1.421 2.897 3.567
O 1.421 4.537 0.726
O 3.630 1.640 -0.947
O 1.421 1.640 0.947
O 3.630 0.000 1.894
```

Results
Formation energy without anion corrections = -1.133 eV per atom

***

This record from Alexandria describes a relaxed structure of Ho6GaAu5. The functional is GGA-PBE.

```
12
Lattice="4.847 0.020 -1.415 -0.991 6.342 -3.303 -0.075 0.443 8.762" Properties=species:S:1:pos:R:3 pbc="T T T"
Au 3.018 1.173 1.347
Au 1.235 2.414 4.266
Au -0.495 3.171 -1.651
Au 2.547 4.391 -0.221
Au 0.763 5.632 2.698
Ho 3.411 4.000 2.732
Ho 3.903 0.844 4.376
Ho 1.685 4.746 -3.173
Ho 2.172 1.617 -1.544
Ho -0.122 5.961 -0.331
Ho 0.371 2.805 1.313
Ga 0.000 0.000 0.000
```

Results
Formation enthalpy at 0 K = -820 meV per atom